(1)
Entry from Alexandria via LeMat-Bulk: Na3Tm3TcO8 after structural relaxation (PBE).

Values from the calculation:
ΔE_f (raw): -38.49 eV per formula unit
total moment: 3.00 μB per formula unit

Structure (POSCAR):
```
Na3Tm3TcO8
1.0
6.608 0.000 0.000
-3.304 5.722 -0.020
0.000 -3.796 5.569
O Tc Na Tm
8 1 3 3
Direct
0.736 0.471 0.707
0.779 0.559 0.302
0.221 0.977 0.698
0.221 0.441 0.698
0.244 0.023 0.302
0.264 0.529 0.293
0.756 0.977 0.698
0.779 0.023 0.302
0.000 0.000 0.500
0.000 0.500 0.000
0.000 0.000 0.000
0.500 0.500 0.000
0.500 0.000 0.500
0.500 0.500 0.500
0.000 0.500 0.500
```

=====

(2)
Entry from Alexandria via LeMat-Bulk: La4Pr2Ho after structural relaxation (PBE).

Values from the calculation:
ΔE_f: 190 meV per atom
total moment: 0.00 μB per formula unit
energy above the lowest structure with this stoichiometry: 155.0 meV/atom

Structure (POSCAR):
```
La4Pr2Ho
1.0
-2.321 0.149 6.596
-9.168 1.070 0.458
-2.621 -8.348 2.974
La Ho Pr
8 2 4
Direct
0.775 0.756 0.256
0.147 0.358 0.349
0.853 0.151 0.142
0.213 0.756 0.256
0.787 0.244 0.744
0.147 0.849 0.858
0.225 0.244 0.744
0.853 0.642 0.651
0.000 0.500 0.000
0.500 0.500 0.000
0.500 0.500 0.500
0.718 0.032 0.532
0.282 0.968 0.468
0.500 0.000 0.000
```

=====

(3)
Entry from Alexandria via LeMat-Bulk: Ba2PmPaO6 after structural relaxation (PBE).

Values from the calculation:
ΔE_f (raw): -33.04 eV per formula unit
total moment: 0.00 μB per formula unit

Structure (POSCAR):
```
Ba2PmPaO6
1.0
-0.742 5.973 -1.872
-0.173 -1.909 -6.024
-8.834 -0.941 0.552
Ba O Pm Pa
4 12 2 2
Direct
0.008 0.974 0.250
0.992 0.026 0.750
0.508 0.526 0.750
0.492 0.474 0.250
0.420 0.979 0.740
0.790 0.772 0.955
0.771 0.790 0.542
0.080 0.479 0.760
0.229 0.210 0.458
0.210 0.228 0.045
0.920 0.521 0.240
0.580 0.021 0.260
0.271 0.710 0.042
0.290 0.728 0.455
0.710 0.272 0.545
0.729 0.290 0.958
0.000 0.500 0.500
0.500 0.000 0.000
0.000 0.500 0.000
0.500 0.000 0.500
```